A plane-wave DFT calculation with meta-GGA SCAN was carried out for FeSb2Pt at its PBEsol-relaxed geometry.

The spin magnetization is 2.689 Bohr magnetons per cell. The calculation puts the density of states at the Fermi level at 0.564 states/eV per atom. Its density is 11.390 g cm⁻³. As for the raw formation energy: 0.166 eV/atom.

The space group is P4/mmm (No. 123) and the conventional cell measures 4.5653, 4.5653 and 3.4585 Å, with angles of 90.00, 90.00 and 90.00 degrees. The inequivalent atoms are Fe at (0.0000, 0.0000, 0.0000), Sb at (0.0000, 0.5000, 0.5000) and Pt at (0.5000, 0.5000, 0.0000).

=====

A plane-wave DFT calculation with meta-GGA SCAN was carried out for FeSbPt2 at its PBEsol-relaxed geometry.

The spin magnetization is 12.200 Bohr magnetons per cell. The calculation puts the density of states at the Fermi level at 0.481 states/eV per atom. Its density is 14.965 g cm⁻³. As for the raw formation energy: -0.057 eV/atom.

The space group is F-43m (No. 216) and the conventional cell measures 6.3164, 6.3164 and 6.3164 Å, with angles of 90.00, 90.00 and 90.00 degrees. The inequivalent atoms are Fe at (0.0000, 0.0000, 0.0000), Sb at (0.2500, 0.2500, 0.7500), Pt at (0.0000, 0.0000, 0.5000) and Pt at (0.2500, 0.2500, 0.2500).

=====

A plane-wave DFT calculation with meta-GGA SCAN was carried out for ScFePt2 at its PBEsol-relaxed geometry.

The spin magnetization is 3.390 Bohr magnetons per cell. The calculation puts the density of states at the Fermi level at 0.637 states/eV per atom. The energy of formation comes out at -0.830 eV per atom. Its density is 13.508 g cm⁻³.

The space group is Pm (No. 6) and the conventional cell measures 2.8468, 4.4816 and 4.7307 Å, with angles of 90.00, 90.09 and 90.00 degrees. The inequivalent atoms are Sc at (0.0000, 0.0000, 0.0000), Fe at (0.9981, 0.5000, 0.3872), Pt at (0.4995, 0.0000, 0.4942) and Pt at (0.4993, 0.5000, 0.8703).

=====

A plane-wave DFT calculation with meta-GGA SCAN was carried out for ScFePt2 at its PBEsol-relaxed geometry.

The spin magnetization is 8.779 Bohr magnetons per cell. The calculation puts the density of states at the Fermi level at 0.622 states/eV per atom. The energy of formation comes out at -0.238 eV per atom. Its density is 13.389 g cm⁻³.

The space group is R3m (No. 160, hexagonal axes) and the conventional cell measures 2.8307, 2.8307 and 26.3239 Å, with angles of 90.00, 90.00 and 120.00 degrees. The inequivalent atoms are Sc at (0.0000, 0.0000, 0.0000), Fe at (0.0000, 0.0000, 0.2500), Pt at (0.0000, 0.0000, 0.5071) and Pt at (0.0000, 0.0000, 0.7502).

=====

A plane-wave DFT calculation with meta-GGA SCAN was carried out for ScFePt2 at its PBEsol-relaxed geometry.

The spin magnetization is 3.140 Bohr magnetons per cell. The calculation puts the density of states at the Fermi level at 0.873 states/eV per atom. The energy of formation comes out at -0.688 eV per atom. Its density is 13.417 g cm⁻³.

The space group is Pmm2 (No. 25) and the conventional cell measures 2.8312, 3.8766 and 5.5363 Å, with angles of 90.00, 90.00 and 90.00 degrees. The inequivalent atoms are Sc at (0.0000, 0.0000, 0.0000), Fe at (0.5000, 0.5000, 0.2930), Pt at (0.0000, 0.0000, 0.4797) and Pt at (0.5000, 0.5000, 0.7707).

=====

A plane-wave DFT calculation with meta-GGA SCAN was carried out for FePtSe at its PBEsol-relaxed geometry.

The spin magnetization is 14.064 Bohr magnetons per cell. The calculation puts the density of states at the Fermi level at 0.594 states/eV per atom. Its density is 11.333 g cm⁻³. As for the raw formation energy: 0.108 eV/atom.

The space group is F-43m (No. 216) and the conventional cell measures 5.7824, 5.7824 and 5.7824 Å, with angles of 90.00, 90.00 and 90.00 degrees. The inequivalent atoms are Fe at (0.0000, 0.0000, 0.0000), Pt at (0.2500, 0.2500, 0.2500) and Se at (0.2500, 0.2500, 0.7500).

=====

A plane-wave DFT calculation with meta-GGA SCAN was carried out for YFe2PtSe at its PBEsol-relaxed geometry.

The spin magnetization is 4.124 Bohr magnetons per cell. The calculation puts the density of states at the Fermi level at 0.432 states/eV per atom. Its density is 8.682 g cm⁻³. As for the raw formation energy: -0.042 eV/atom.

The space group is P4/mmm (No. 123) and the conventional cell measures 4.3527, 4.3527 and 4.7918 Å, with angles of 90.00, 90.00 and 90.00 degrees. The inequivalent atoms are Y at (0.0000, 0.0000, 0.0000), Fe at (0.0000, 0.5000, 0.5000), Pt at (0.5000, 0.5000, 0.0000) and Se at (0.5000, 0.5000, 0.5000).

=====

A plane-wave DFT calculation with meta-GGA SCAN was carried out for Fe4SiPt at its PBEsol-relaxed geometry.

The spin magnetization is 40.862 Bohr magnetons per cell. The calculation puts the density of states at the Fermi level at 0.916 states/eV per atom. Its density is 10.460 g cm⁻³. As for the raw formation energy: 0.016 eV/atom.

The space group is F-43m (No. 216) and the conventional cell measures 6.5697, 6.5697 and 6.5697 Å, with angles of 90.00, 90.00 and 90.00 degrees. The inequivalent atoms are Fe at (0.1242, 0.1242, 0.1242), Si at (0.2500, 0.2500, 0.7500) and Pt at (0.0000, 0.0000, 0.5000).

=====

A plane-wave DFT calculation with meta-GGA SCAN was carried out for FeSiPt2 at its PBEsol-relaxed geometry.

The spin magnetization is 8.712 Bohr magnetons per cell. The calculation puts the density of states at the Fermi level at 0.892 states/eV per atom. Its density is 14.705 g cm⁻³. As for the raw formation energy: -0.262 eV/atom.

The space group is R3m (No. 160, hexagonal axes) and the conventional cell measures 2.7551, 2.7551 and 24.4315 Å, with angles of 90.00, 90.00 and 120.00 degrees. The inequivalent atoms are Fe at (0.0000, 0.0000, 0.0000), Si at (0.0000, 0.0000, 0.2614), Pt at (0.0000, 0.0000, 0.5164) and Pt at (0.0000, 0.0000, 0.7508).

=====

A plane-wave DFT calculation with meta-GGA SCAN was carried out for ZrFeSi2Pt at its PBEsol-relaxed geometry.

The spin magnetization is 2.873 Bohr magnetons per cell. The calculation puts the density of states at the Fermi level at 0.538 states/eV per atom. Its density is 6.912 g cm⁻³. As for the raw formation energy: 0.356 eV/atom.

The space group is P4/mmm (No. 123) and the conventional cell measures 4.5335, 4.5335 and 4.6561 Å, with angles of 90.00, 90.00 and 90.00 degrees. The inequivalent atoms are Zr at (0.0000, 0.0000, 0.0000), Fe at (0.5000, 0.5000, 0.0000), Si at (0.0000, 0.5000, 0.5000) and Pt at (0.5000, 0.5000, 0.5000).

=====

A plane-wave DFT calculation with meta-GGA SCAN was carried out for SrFeSn2Pt at its PBEsol-relaxed geometry.

The spin magnetization is 2.509 Bohr magnetons per cell. The calculation puts the density of states at the Fermi level at 0.356 states/eV per atom. The energy of formation comes out at -0.186 eV per atom. Its density is 8.288 g cm⁻³.

The space group is P4/mmm (No. 123) and the conventional cell measures 4.8331, 4.8331 and 4.9402 Å, with angles of 90.00, 90.00 and 90.00 degrees. The inequivalent atoms are Sr at (0.0000, 0.0000, 0.0000), Fe at (0.5000, 0.5000, 0.5000), Sn at (0.0000, 0.5000, 0.5000) and Pt at (0.5000, 0.5000, 0.0000).

=====

A plane-wave DFT calculation with meta-GGA SCAN was carried out for SrFe2Pt at its PBEsol-relaxed geometry.

The spin magnetization is 16.526 Bohr magnetons per cell. The calculation puts the density of states at the Fermi level at 1.061 states/eV per atom. The energy of formation comes out at -0.166 eV per atom. Its density is 8.072 g cm⁻³.

The space group is R3m (No. 160, hexagonal axes) and the conventional cell measures 4.1853, 4.1853 and 16.0444 Å, with angles of 90.00, 90.00 and 120.00 degrees. The inequivalent atoms are Sr at (0.0000, 0.0000, 0.0000), Fe at (0.0000, 0.0000, 0.5073), Fe at (0.0000, 0.0000, 0.8113) and Pt at (0.0000, 0.0000, 0.1894).